(1)
A plane-wave DFT calculation with PBE was carried out for crystalline AcAsSe at its relaxed geometry.

Results
* Fermi-level density of states: 2.7 states/eV/cell
* E_form (uncorrected): -1457 meV/atom
* distance to the lowest polymorph of the same formula: 0.17 eV/f.u.
* space group: I4/mmm (139)
* calculated total energy: -5.538 eV per atom

```
6
Lattice="-2.1147 2.1147 9.3771 2.1147 -2.1147 9.3771 2.1147 2.1147 -9.3771" Properties=species:S:1:pos:R:3 pbc="T T T"
Ac 0.0000 0.0000 2.6223
Ac 0.0000 0.0000 16.1319
As 2.1147 0.0000 0.0000
As 0.0000 2.1147 0.0000
Se 0.0000 0.0000 5.8731
Se 0.0000 0.0000 12.8811
```

=====

(2)
A plane-wave DFT calculation with PBE was carried out for crystalline ZnAg2Sb2 at its relaxed geometry.

Results
* Fermi-level density of states: 2.4 states/eV/cell
* E_form (uncorrected): 240 meV/atom
* distance to the lowest polymorph of the same formula: 0.19 eV/f.u.
* space group: I4/mmm (139)
* calculated total energy: -2.804 eV per atom

```
5
Lattice="-1.9300 1.9300 7.7908 1.9300 -1.9300 7.7908 1.9300 1.9300 -7.7908" Properties=species:S:1:pos:R:3 pbc="T T T"
Zn 0.0000 0.0000 0.0000
Ag 1.9300 0.0000 3.8954
Ag 0.0000 1.9300 3.8954
Sb 0.0000 0.0000 6.1843
Sb 0.0000 0.0000 9.3973
```

=====

(3)
A plane-wave DFT calculation with PBE was carried out for crystalline BeHg2As at its relaxed geometry.

Results
* Fermi-level density of states: 1.3 states/eV/cell
* distance to the lowest polymorph of the same formula: 0.00 eV/f.u.
* space group: Cm (8)
* calculated total energy: -2.186 eV per atom

```
4
Lattice="3.3440 -1.9188 0.0000 3.3440 1.9188 0.0000 -0.9265 0.0000 7.2537" Properties=species:S:1:pos:R:3 pbc="T T T"
Be 0.0000 0.0000 0.0000
Hg 2.7199 0.0000 2.8017
Hg 4.7449 0.0000 4.8863
As 2.2142 0.0000 0.1234
```

=====

(4)
A plane-wave DFT calculation with PBE was carried out for crystalline La4Tb2PrMg at its relaxed geometry.

Results
* Fermi-level density of states: 10.6 states/eV/cell
* space group: Pmmm (47)
* calculated total energy: -4.372 eV per atom

```
8
Lattice="5.8981 0.0000 0.0000 0.0000 5.9038 0.0000 0.0000 0.0000 7.8972" Properties=species:S:1:pos:R:3 pbc="T T T"
La 0.0000 0.0000 1.8287
La 0.0000 0.0000 6.0685
La 2.9491 2.9519 1.8399
La 2.9491 2.9519 6.0573
Tb 0.0000 2.9519 0.0000
Tb 2.9491 0.0000 3.9486
Pr 0.0000 2.9519 3.9486
Mg 2.9491 0.0000 0.0000
```

=====

(5)
A plane-wave DFT calculation with PBE was carried out for crystalline BiP2W at its relaxed geometry.

Results
* Fermi-level density of states: 9.4 states/eV/cell
* space group: I-42d (122)
* calculated total energy: -6.521 eV per atom

```
8
Lattice="-3.0035 3.0035 5.6753 3.0035 -3.0035 5.6753 3.0035 3.0035 -5.6753" Properties=species:S:1:pos:R:3 pbc="T T T"
Bi 0.0000 0.0000 0.0000
Bi 0.0000 3.0035 2.8376
P 1.5018 -1.0676 4.2565
P 1.9360 1.5018 1.4188
P 1.5018 4.0711 -1.4188
P 1.0676 1.5018 7.0941
W 3.0035 0.0000 2.8376
W 0.0000 0.0000 5.6753
```

=====

(6)
A plane-wave DFT calculation with PBE was carried out for crystalline Sr3Y2PuN6 at its relaxed geometry.

Results
* Fermi-level density of states: 6.4 states/eV/cell
* E_form (uncorrected): -1137 meV/atom
* space group: C2/m (12)
* calculated total energy: -7.992 eV per atom

```
12
Lattice="3.0643 -5.3101 0.0000 3.0643 5.3101 0.0000 -2.0476 0.0000 5.9970" Properties=species:S:1:pos:R:3 pbc="T T T"
Sr 0.0000 0.0000 0.0000
Sr 3.0643 1.7802 0.0000
Sr 3.0643 -1.7802 0.0000
Y 2.0405 3.5376 2.9985
Y 2.0405 -3.5376 2.9985
Pu 2.0405 0.0000 2.9985
N 1.1010 1.6304 1.7656
N 0.1766 0.0000 4.2143
N 1.1010 -1.6304 1.7656
N 2.9799 1.6304 4.2314
N 3.9044 0.0000 1.7827
N 2.9799 -1.6304 4.2314
```

=====

(7)
A plane-wave DFT calculation with PBE was carried out for crystalline Rb2CrBr at its relaxed geometry.

Results
* Fermi-level density of states: 0.0 states/eV/cell
* E_form (uncorrected): -50 meV/atom
* distance to the lowest polymorph of the same formula: 0.02 eV/f.u.
* space group: Fm-3m (225)
* calculated total energy: -3.358 eV per atom

```
4
Lattice="0.0000 4.4114 4.4114 4.4114 0.0000 4.4114 4.4114 4.4114 0.0000" Properties=species:S:1:pos:R:3 pbc="T T T"
Rb 2.2057 2.2057 2.2057
Rb 6.6170 6.6170 6.6170
Cr 0.0000 0.0000 0.0000
Br 4.4114 4.4114 4.4114
```

=====

(8)
A plane-wave DFT calculation with PBE was carried out for crystalline Ba2HgRhAu at its relaxed geometry.

Results
* Fermi-level density of states: 3.4 states/eV/cell
* space group: P4/mmm (123)
* calculated total energy: -3.248 eV per atom

```
5
Lattice="5.9006 0.0000 0.0000 0.0000 5.9006 0.0000 0.0000 0.0000 5.2119" Properties=species:S:1:pos:R:3 pbc="T T T"
Ba 0.0000 2.9503 0.0000
Ba 2.9503 0.0000 0.0000
Hg 0.0000 0.0000 2.6060
Rh 0.0000 0.0000 0.0000
Au 2.9503 2.9503 2.6060
```

=====

(9)
A plane-wave DFT calculation with PBE was carried out for crystalline InIr2Br at its relaxed geometry.

Results
* Fermi-level density of states: 5.6 states/eV/cell
* E_form (uncorrected): 855 meV/atom
* distance to the lowest polymorph of the same formula: 2.25 eV/f.u.
* space group: Fm-3m (225)
* calculated total energy: -4.678 eV per atom

```
4
Lattice="0.0000 3.2811 3.2811 3.2811 0.0000 3.2811 3.2811 3.2811 0.0000" Properties=species:S:1:pos:R:3 pbc="T T T"
In 0.0000 0.0000 0.0000
Ir 1.6406 1.6406 1.6406
Ir 4.9217 4.9217 4.9217
Br 3.2811 3.2811 3.2811
```

=====

(10)
A plane-wave DFT calculation with PBE was carried out for crystalline Sn3IrI at its relaxed geometry.

Results
* Fermi-level density of states: 3.8 states/eV/cell
* E_form (uncorrected): -19 meV/atom
* distance to the lowest polymorph of the same formula: 0.00 eV/f.u.
* space group: Pm-3m (221)
* calculated total energy: -4.503 eV per atom

```
5
Lattice="5.2445 0.0000 0.0000 0.0000 5.2445 0.0000 0.0000 0.0000 5.2445" Properties=species:S:1:pos:R:3 pbc="T T T"
Sn 0.0000 0.0000 2.6223
Sn 0.0000 2.6223 0.0000
Sn 2.6223 0.0000 0.0000
Ir 0.0000 0.0000 0.0000
I 2.6223 2.6223 2.6223
```

=====

(11)
A plane-wave DFT calculation with PBE was carried out for crystalline Tb3Ti5O12 at its relaxed geometry.

Results
* Fermi-level density of states: 41.4 states/eV/cell
* E_form (uncorrected): -3057 meV/atom
* space group: Ia-3d (230)
* calculated total energy: -8.700 eV per atom

```
80
Lattice="-6.3114 6.3114 6.3114 6.3114 -6.3114 6.3114 6.3114 6.3114 -6.3114" Properties=species:S:1:pos:R:3 pbc="T T T"
Tb 3.1557 1.5779 0.0000
Tb 6.3114 3.1557 -1.5779
Tb 1.5779 0.0000 3.1557
Tb 7.8893 0.0000 3.1557
Tb 0.0000 3.1557 1.5779
Tb 3.1557 -1.5779 6.3114
Tb 3.1557 7.8893 0.0000
Tb 6.3114 3.1557 4.7336
Tb -1.5779 6.3114 3.1557
Tb 4.7336 6.3114 3.1557
Tb 0.0000 3.1557 7.8893
Tb 3.1557 4.7336 6.3114
Ti 0.0000 0.0000 0.0000
Ti 3.1557 3.1557 -3.1557
Ti 3.1557 -3.1557 3.1557
Ti 6.3114 0.0000 0.0000
Ti 9.4671 1.5779 0.0000
Ti 6.3114 -3.1557 4.7336
Ti 4.7336 6.3114 -3.1557
Ti 4.7336 0.0000 3.1557
Ti 3.1557 4.7336 0.0000
Ti 6.3114 3.1557 1.5779
Ti -3.1557 3.1557 3.1557
Ti 0.0000 6.3114 0.0000
Ti 0.0000 0.0000 6.3114
Ti 3.1557 3.1557 3.1557
Ti 0.0000 3.1557 4.7336
Ti 3.1557 1.5779 6.3114
Ti 1.5779 6.3114 3.1557
Ti 1.5779 0.0000 9.4671
Ti 0.0000 9.4671 1.5779
Ti -3.1557 4.7336 6.3114
O 1.9252 -0.3525 0.7296
O 7.5419 3.8854 -3.5082
O 8.2366 0.3525 0.7296
O 7.5419 -2.4261 3.5082
O 5.9589 -0.7296 1.9252
O 9.8196 -1.2305 2.4261
O 0.7296 1.9252 -0.3525
O 8.7375 2.8032 -1.2305
O 3.8854 3.5082 -1.2305
O 5.5818 1.9252 0.3525
O -0.3525 0.7296 1.9252
O 3.5082 -1.2305 3.8854
O 5.9589 5.5818 -1.9252
O 3.5082 1.2305 2.4261
O 3.8854 -3.5082 7.5419
O 5.5818 -1.9252 5.9589
O 2.4261 3.5082 1.2305
O 7.0411 4.3862 0.3525
O 3.5082 7.5419 -2.4261
O 5.9589 0.7296 4.3862
O 1.9252 5.9589 -0.7296
O 7.5419 2.4261 2.8032
O 1.2305 2.4261 3.5082
O 1.9252 0.3525 5.5818
O 4.3862 5.9589 0.7296
O 5.0809 3.8854 2.8032
O -1.2305 3.8854 3.5082
O 4.3862 0.3525 7.0411
O 0.3525 5.5818 1.9252
O 2.8032 -1.2305 8.7375
O -0.7296 1.9252 5.9589
O 3.8854 2.8032 5.0809
O 0.7296 8.2366 0.3525
O 2.4261 9.8196 -1.2305
O 2.8032 5.0809 3.8854
O 0.3525 0.7296 8.2366
O 2.8032 7.5419 2.4261
O 6.6639 5.5818 4.3862
O 0.7296 4.3862 5.9589
O 2.4261 2.8032 7.5419
O -2.4261 3.5082 7.5419
O 5.5818 4.3862 6.6639
O -3.5082 7.5419 3.8854
O 0.3525 7.0411 4.3862
O -1.2305 8.7375 2.8032
O -1.9252 5.9589 5.5818
O -1.2305 2.4261 9.8196
O 4.3862 6.6639 5.5818
```